Entry 1:
{"formula": "LaSc2GaH", "functional": "PBE", "state": "relaxed", "spacegroup": "No. 123", "dft_energy_ev_per_atom": -5.127, "dos_at_fermi_per_ev_cell": 5.96, "cell": [[4.6322, 0.0000, 0.0000], [0.0000, 4.6322, 0.0000], [0.0000, 0.0000, 4.5928]], "species": ["La", "Sc", "Sc", "Ga", "H"], "frac_coords": [[0.0000, 0.0000, 0.0000], [0.0000, 0.5000, 0.5000], [0.5000, 0.0000, 0.5000], [0.5000, 0.5000, 0.0000], [0.0000, 0.0000, 0.5000]]}


Entry 2:
{"formula": "LaGa2HSe", "functional": "PBE", "state": "relaxed", "spacegroup": "No. 123", "dft_energy_ev_per_atom": -4.018, "dos_at_fermi_per_ev_cell": 2.82, "cell": [[4.1940, 0.0000, 0.0000], [0.0000, 4.1940, 0.0000], [0.0000, 0.0000, 5.7103]], "species": ["La", "Ga", "Ga", "H", "Se"], "frac_coords": [[0.0000, 0.0000, 0.0000], [0.0000, 0.5000, 0.5000], [0.5000, 0.0000, 0.5000], [0.5000, 0.5000, 0.5000], [0.5000, 0.5000, 0.0000]]}


Entry 3:
{"formula": "LaGaSn2H", "functional": "PBE", "state": "relaxed", "spacegroup": "No. 123", "dft_energy_ev_per_atom": -4.161, "dos_at_fermi_per_ev_cell": 1.48, "cell": [[4.7939, 0.0000, 0.0000], [0.0000, 4.7939, 0.0000], [0.0000, 0.0000, 4.7166]], "species": ["La", "Ga", "Sn", "Sn", "H"], "frac_coords": [[0.0000, 0.0000, 0.0000], [0.5000, 0.5000, 0.0000], [0.0000, 0.5000, 0.5000], [0.5000, 0.0000, 0.5000], [0.0000, 0.0000, 0.5000]]}


Entry 4:
{"formula": "Sr2LaGaH", "functional": "PBE", "state": "relaxed", "spacegroup": "No. 123", "dft_energy_ev_per_atom": -3.118, "dos_at_fermi_per_ev_cell": 4.61, "cell": [[5.1684, 0.0000, 0.0000], [0.0000, 5.1684, 0.0000], [0.0000, 0.0000, 5.1784]], "species": ["Sr", "Sr", "La", "Ga", "H"], "frac_coords": [[0.0000, 0.5000, 0.0000], [0.5000, 0.0000, 0.0000], [0.0000, 0.0000, 0.5000], [0.5000, 0.5000, 0.5000], [0.0000, 0.0000, 0.0000]]}


Entry 5:
{"formula": "SrLa2GaH", "functional": "PBE", "state": "relaxed", "spacegroup": "No. 123", "dft_energy_ev_per_atom": -3.812, "dos_at_fermi_per_ev_cell": 6.55, "cell": [[5.0190, 0.0000, 0.0000], [0.0000, 5.0190, 0.0000], [0.0000, 0.0000, 5.2280]], "species": ["Sr", "La", "La", "Ga", "H"], "frac_coords": [[0.0000, 0.0000, 0.0000], [0.0000, 0.5000, 0.5000], [0.5000, 0.0000, 0.5000], [0.5000, 0.5000, 0.0000], [0.0000, 0.0000, 0.5000]]}


Entry 6:
{"formula": "LaGaTeH2", "functional": "PBE", "state": "relaxed", "spacegroup": "No. 123", "dft_energy_ev_per_atom": -3.851, "dos_at_fermi_per_ev_cell": 0.03, "cell": [[4.5934, 0.0000, 0.0000], [0.0000, 4.5934, 0.0000], [0.0000, 0.0000, 6.3596]], "species": ["La", "Ga", "Te", "H", "H"], "frac_coords": [[0.0000, 0.0000, 0.0000], [0.5000, 0.5000, 0.5000], [0.0000, 0.0000, 0.5000], [0.0000, 0.5000, 0.0000], [0.5000, 0.0000, 0.0000]]}


Entry 7:
{"formula": "Li2Ga2H7", "functional": "PBE", "state": "relaxed", "spacegroup": "No. 12", "dft_energy_ev_per_atom": -3.052, "dos_at_fermi_per_ev_cell": 1.37, "cell": [[3.5301, -3.9639, 0.0000], [3.5301, 3.9639, 0.0000], [-1.6833, 0.0000, 4.0762]], "species": ["Li", "Li", "Ga", "Ga", "H", "H", "H", "H", "H", "H", "H"], "frac_coords": [[0.1954, 0.8046, 0.0000], [0.8046, 0.1954, 0.0000], [0.2910, 0.2910, 0.6328], [0.7090, 0.7090, 0.3672], [0.0784, 0.4146, 0.8067], [0.1072, 0.1072, 0.2706], [0.4146, 0.0784, 0.8067], [0.5000, 0.5000, 0.5000], [0.5854, 0.9216, 0.1933], [0.8928, 0.8928, 0.7294], [0.9216, 0.5854, 0.1933]]}


Entry 8:
{"formula": "LiGa3H", "functional": "PBE", "state": "relaxed", "spacegroup": "No. 221", "polymorph_energy_kj_per_mol_fu": 258, "dft_energy_ev_per_atom": -2.234, "dos_at_fermi_per_ev_cell": 1.94, "cell": [[4.5904, 0.0000, 0.0000], [0.0000, 4.5904, 0.0000], [0.0000, 0.0000, 4.5904]], "species": ["Li", "Ga", "Ga", "Ga", "H"], "frac_coords": [[0.0000, 0.0000, 0.0000], [0.0000, 0.0000, 0.5000], [0.0000, 0.5000, 0.0000], [0.5000, 0.0000, 0.0000], [0.5000, 0.5000, 0.5000]]}